Entry from Alexandria via LeMat-Bulk: a relaxed Zr12CdIn3 crystal (PBE).

- Total magnetization: 0.00 μB/cell
- E: -115.01 eV/f.u.
- V: 22.351 Å³ per atom
- D(E_F): 0.97 states/eV per atom

Cell: 4.475 4.475 17.861 Å, 90.00 90.00 90.00°
Fractional coordinates of all 16 atoms:
Zr 0.000 0.000 0.000
Zr 0.000 0.000 0.249
Zr 0.000 0.000 0.500
Zr 0.000 0.000 0.751
Zr 0.000 0.500 0.125
Zr 0.000 0.500 0.375
Zr 0.000 0.500 0.625
Zr 0.000 0.500 0.875
Zr 0.500 0.000 0.125
Zr 0.500 0.000 0.375
Zr 0.500 0.000 0.625
Zr 0.500 0.000 0.875
Cd 0.500 0.500 0.000
In 0.500 0.500 0.249
In 0.500 0.500 0.500
In 0.500 0.500 0.751